# 1
# GGA-PBE LiCeTeI, relaxed
# - formation energy (no corrections) (eV per atom) = -1.1500
data_LiCeTeI
_chemical_formula_sum 'Li2 Ce2 Te2 I2'
_space_group_name_H-M_alt 'P 1'
_space_group_IT_number 1
_space_group_name_Hall 'P 1'
_cell_length_a 15.829
_cell_length_b 15.829
_cell_length_c 15.829
_cell_angle_alpha 16.10
_cell_angle_beta 16.10
_cell_angle_gamma 16.10
loop_
_atom_site_label
_atom_site_fract_x
_atom_site_fract_y
_atom_site_fract_z
Li1 0.188 0.188 0.188
Li2 0.812 0.812 0.812
Ce1 0.418 0.418 0.418
Ce2 0.582 0.582 0.582
Te1 0.127 0.127 0.127
Te2 0.873 0.873 0.873
I1 0.291 0.291 0.291
I2 0.709 0.709 0.709

***

# 2
# GGA-PBE Li2CeTlI6, relaxed
# - formation energy (no corrections) (eV per atom) = -1.1195
data_Li2CeTlI6
_chemical_formula_sum 'Li2 Ce1 Tl1 I6'
_space_group_name_H-M_alt 'P 1'
_space_group_IT_number 1
_space_group_name_Hall 'P 1'
_cell_length_a 8.549
_cell_length_b 8.549
_cell_length_c 8.549
_cell_angle_alpha 55.47
_cell_angle_beta 55.47
_cell_angle_gamma 55.47
loop_
_atom_site_label
_atom_site_fract_x
_atom_site_fract_y
_atom_site_fract_z
Li1 0.000 0.000 0.000
Li2 0.494 0.494 0.494
Ce1 0.683 0.683 0.683
Tl1 0.197 0.197 0.197
I1 0.106 0.397 0.748
I2 0.259 0.849 0.655
I3 0.397 0.748 0.106
I4 0.655 0.259 0.849
I5 0.748 0.106 0.397
I6 0.849 0.655 0.259

***

# 3
# GGA-PBE CeMg2I8, relaxed
# - formation energy (no corrections) (eV per atom) = -1.0010
data_CeMg2I8
_chemical_formula_sum 'Ce1 Mg2 I8'
_space_group_name_H-M_alt 'P 1'
_space_group_IT_number 1
_space_group_name_Hall 'P 1'
_cell_length_a 9.653
_cell_length_b 9.653
_cell_length_c 7.323
_cell_angle_alpha 91.25
_cell_angle_beta 91.25
_cell_angle_gamma 53.08
loop_
_atom_site_label
_atom_site_fract_x
_atom_site_fract_y
_atom_site_fract_z
Ce1 0.000 0.000 0.000
Mg1 0.162 0.162 0.409
Mg2 0.838 0.838 0.591
I1 0.151 0.151 0.790
I2 0.171 0.685 0.745
I3 0.309 0.309 0.326
I4 0.315 0.829 0.255
I5 0.685 0.171 0.745
I6 0.691 0.691 0.674
I7 0.829 0.315 0.255
I8 0.849 0.849 0.210

***

# 4
# GGA-PBE CeMgI2, relaxed
# - formation energy (no corrections) (eV per atom) = -0.6597
data_CeMgI2
_chemical_formula_sum 'Ce1 Mg1 I2'
_space_group_name_H-M_alt 'P 1'
_space_group_IT_number 1
_space_group_name_Hall 'P 1'
_cell_length_a 11.459
_cell_length_b 11.459
_cell_length_c 11.459
_cell_angle_alpha 20.07
_cell_angle_beta 20.07
_cell_angle_gamma 20.07
loop_
_atom_site_label
_atom_site_fract_x
_atom_site_fract_y
_atom_site_fract_z
Ce1 0.000 0.000 0.000
Mg1 0.500 0.500 0.500
I1 0.399 0.399 0.399
I2 0.601 0.601 0.601

***

# 5
# GGA-PBE NaCeMgI6, relaxed
# - formation energy (no corrections) (eV per atom) = -1.1966
data_NaCeMgI6
_chemical_formula_sum 'Na2 Ce2 Mg2 I12'
_space_group_name_H-M_alt 'P 1'
_space_group_IT_number 1
_space_group_name_Hall 'P 1'
_cell_length_a 7.748
_cell_length_b 7.748
_cell_length_c 14.523
_cell_angle_alpha 90.00
_cell_angle_beta 90.00
_cell_angle_gamma 120.00
loop_
_atom_site_label
_atom_site_fract_x
_atom_site_fract_y
_atom_site_fract_z
Na1 0.000 0.000 0.000
Na2 0.000 0.000 0.500
Ce1 0.333 0.667 0.250
Ce2 0.667 0.333 0.750
Mg1 0.333 0.667 0.750
Mg2 0.667 0.333 0.250
I1 0.019 0.361 0.630
I2 0.019 0.658 0.870
I3 0.342 0.361 0.870
I4 0.342 0.981 0.630
I5 0.361 0.019 0.130
I6 0.361 0.342 0.370
I7 0.639 0.658 0.630
I8 0.639 0.981 0.870
I9 0.658 0.019 0.370
I10 0.658 0.639 0.130
I11 0.981 0.342 0.130
I12 0.981 0.639 0.370

***

# 6
# GGA-PBE CeMg2IO8, relaxed
# - formation energy (no corrections) (eV per atom) = -1.7695
data_CeMg2IO8
_chemical_formula_sum 'Ce1 Mg2 I1 O8'
_space_group_name_H-M_alt 'P 1'
_space_group_IT_number 1
_space_group_name_Hall 'P 1'
_cell_length_a 4.688
_cell_length_b 4.688
_cell_length_c 6.778
_cell_angle_alpha 90.00
_cell_angle_beta 90.00
_cell_angle_gamma 92.21
loop_
_atom_site_label
_atom_site_fract_x
_atom_site_fract_y
_atom_site_fract_z
Ce1 0.000 0.000 0.000
Mg1 0.500 0.500 0.267
Mg2 0.500 0.500 0.733
I1 0.000 0.000 0.500
O1 0.190 0.810 0.291
O2 0.190 0.810 0.709
O3 0.288 0.288 0.500
O4 0.319 0.319 0.000
O5 0.681 0.681 0.000
O6 0.712 0.712 0.500
O7 0.810 0.190 0.291
O8 0.810 0.190 0.709

***

# 7
# GGA-PBE Ce2MnI8, relaxed
# - formation energy (no corrections) (eV per atom) = -1.0953
data_Ce2MnI8
_chemical_formula_sum 'Ce2 Mn1 I8'
_space_group_name_H-M_alt 'P 1'
_space_group_IT_number 1
_space_group_name_Hall 'P 1'
_cell_length_a 11.564
_cell_length_b 11.564
_cell_length_c 10.098
_cell_angle_alpha 93.21
_cell_angle_beta 93.21
_cell_angle_gamma 21.01
loop_
_atom_site_label
_atom_site_fract_x
_atom_site_fract_y
_atom_site_fract_z
Ce1 0.149 0.149 0.274
Ce2 0.851 0.851 0.726
Mn1 0.500 0.500 0.000
I1 0.001 0.001 0.197
I2 0.245 0.245 0.699
I3 0.371 0.371 0.972
I4 0.400 0.400 0.529
I5 0.600 0.600 0.471
I6 0.629 0.629 0.028
I7 0.755 0.755 0.301
I8 0.999 0.999 0.803

***

# 8
# GGA-PBE CeMnI6, relaxed
# - formation energy (no corrections) (eV per atom) = -0.8743
data_CeMnI6
_chemical_formula_sum 'Ce1 Mn1 I6'
_space_group_name_H-M_alt 'P 1'
_space_group_IT_number 1
_space_group_name_Hall 'P 1'
_cell_length_a 7.767
_cell_length_b 7.767
_cell_length_c 7.227
_cell_angle_alpha 90.66
_cell_angle_beta 90.66
_cell_angle_gamma 119.55
loop_
_atom_site_label
_atom_site_fract_x
_atom_site_fract_y
_atom_site_fract_z
Ce1 0.000 0.000 0.000
Mn1 0.000 0.000 0.500
I1 0.001 0.698 0.262
I2 0.301 0.301 0.273
I3 0.302 0.999 0.738
I4 0.698 0.001 0.262
I5 0.699 0.699 0.727
I6 0.999 0.302 0.738

***

| no. | size of the total moment (μB/f.u.) |
| --- | --- |
| 1 | 1.74 |
| 2 | 1.00 |
| 3 | 0.04 |
| 4 | 1.74 |
| 5 | 1.00 |
| 6 | 0.60 |
| 7 | 3.00 |
| 8 | 5.06 |